A plane-wave DFT calculation with PBE was carried out for BMo after structural relaxation.

abc: 3.0493 7.3791 5.7336
angles: 90.00 90.00 90.00
Space group Amm2 (No. 38)
Asymmetric unit:
B  0.0000  0.0000  0.0000
B  0.5000  0.1512  0.9576
Mo  0.0000  0.1919  0.6715
Mo  0.5000  0.0000  0.3204

Calculated values
- ρ (g/cm³) = 8.24
- polymorph energy (0 for the lowest one) (eV/f.u.) = 0.49
- formation energy (eV/atom) = -0.264